NbFe2Sb8: relaxed, PBE.

Unit cell a=6.3187 b=6.3187 c=7.2183 alpha=93.40 beta=93.40 gamma=87.23
Positions (direct):
Nb 0.0000 0.0000 0.0000
Fe 0.1431 0.1431 0.3031
Fe 0.8569 0.8569 0.6968
Sb 0.1346 0.1346 0.6485
Sb 0.1358 0.5948 0.8258
Sb 0.4052 0.8642 0.1742
Sb 0.4237 0.4237 0.3162
Sb 0.5763 0.5763 0.6838
Sb 0.5948 0.1358 0.8258
Sb 0.8642 0.4052 0.1742
Sb 0.8654 0.8654 0.3515

Calculated values
For the formation energy (no corrections), the calculation gives 2.1 eV/f.u. The density is 6.8 g cm⁻³. For the total magnetization, the calculation gives 0.02 μB per cell. The calculation puts the volume at 286.9 Å³/cell.

Tb2PaTeO8: relaxed, PBE.

Unit cell a=5.0747 b=5.0747 c=6.9875 alpha=90.00 beta=90.00 gamma=91.95
Positions (direct):
Tb 0.0000 0.0000 0.2442
Tb 0.0000 0.0000 0.7558
Pa 0.5000 0.5000 0.5000
Te 0.5000 0.5000 0.0000
O 0.2018 0.2018 0.5000
O 0.2120 0.2120 0.0000
O 0.3178 0.6822 0.2367
O 0.3178 0.6822 0.7633
O 0.6822 0.3178 0.2367
O 0.6822 0.3178 0.7633
O 0.7880 0.7880 0.0000
O 0.7982 0.7982 0.5000

Calculated values
For the formation energy (no corrections), the calculation gives -33.4 eV/f.u. The density is 7.4 g cm⁻³. For the total magnetization, the calculation gives 0.00 μB per cell. The calculation puts the volume at 179.8 Å³/cell.

Tb2CdRh: relaxed, PBE.

Unit cell a=8.3590 b=8.3590 c=8.3590 alpha=27.11 beta=27.11 gamma=27.11
Positions (direct):
Tb 0.2326 0.2326 0.2326
Tb 0.7674 0.7674 0.7674
Cd 0.0000 0.0000 0.0000
Rh 0.5000 0.5000 0.5000

Calculated values
The density is 8.3 g cm⁻³. The value obtained for the formation energy is -1.97 eV per formula unit. For the total magnetization, the calculation gives 0.00 μB per cell. Its energy above the most stable polymorph in this dataset is 110 meV/atom. The calculation puts the volume at 107.0 Å³/cell.

K3Sm2ScS6: relaxed, PBE.

Unit cell a=7.0072 b=7.0072 c=7.7288 alpha=98.71 beta=98.71 gamma=120.01
Positions (direct):
K 0.0000 0.0000 0.0000
K 0.3317 0.6683 0.0000
K 0.6683 0.3317 0.0000
Sm 0.1665 0.8335 0.5000
Sm 0.8335 0.1665 0.5000
Sc 0.5000 0.5000 0.5000
S 0.1167 0.4331 0.2993
S 0.2510 0.2510 0.7006
S 0.4331 0.1167 0.2993
S 0.5669 0.8833 0.7007
S 0.7490 0.7490 0.2994
S 0.8833 0.5669 0.7007

Calculated values
For the formation energy (no corrections), the calculation gives -21.8 eV/f.u. The density is 3.5 g cm⁻³. For the total magnetization, the calculation gives 0.00 μB per cell. The calculation puts the volume at 313.2 Å³/cell.

TlSi4Ni: relaxed, PBE.

Unit cell a=5.2264 b=5.2264 c=5.2264 alpha=60.00 beta=60.00 gamma=60.00
Positions (direct):
Tl 0.0000 0.0000 0.0000
Si 0.1283 0.6239 0.6239
Si 0.6239 0.1283 0.6239
Si 0.6239 0.6239 0.1283
Si 0.6239 0.6239 0.6239
Ni 0.2500 0.2500 0.2500

Calculated values
For the formation energy (no corrections), the calculation gives 3.8 eV/f.u. The density is 6.2 g cm⁻³. For the total magnetization, the calculation gives 0.00 μB per cell. The calculation puts the volume at 100.9 Å³/cell.

PmCu2Pd3: relaxed, PBE.

Unit cell a=5.4141 b=5.4141 c=4.1107 alpha=90.00 beta=90.00 gamma=120.00
Positions (direct):
Pm 0.0000 0.0000 0.0000
Cu 0.3333 0.6667 0.0000
Cu 0.6667 0.3333 0.0000
Pd 0.0000 0.5000 0.5000
Pd 0.5000 0.0000 0.5000
Pd 0.5000 0.5000 0.5000

Calculated values
The density is 9.4 g cm⁻³. The value obtained for the formation energy is -2.87 eV per formula unit. For the total magnetization, the calculation gives 0.00 μB per cell. Its energy above the most stable polymorph in this dataset is 0 meV/atom. The calculation puts the volume at 104.4 Å³/cell.

Number 1: electronic total energy -5.26 eV per atom. Number 2: electronic total energy -7.91 eV per atom. Number 3: electronic total energy -4.87 eV per atom. Number 4: electronic total energy -5.47 eV per atom. Number 5: electronic total energy -4.34 eV per atom. Number 6: electronic total energy -5.23 eV per atom.